Entry 1:
A relaxed SnPd6Pb2 crystal, computed with PBE-GGA.

Calculated values
The relative energy among the computed polymorphs comes out at 0.00 eV/f.u. Its calculated formation energy is -0.335 eV/atom.

Cell lengths 3.323, 7.569, 7.569 Å; angles 120.00, 90.00, 90.00 degrees
Positions (direct):
1 Pb 0.000 0.333 0.667
2 Pd 0.000 0.000 0.282
3 Pd 0.000 0.718 0.718
4 Pd 0.500 0.631 0.000
5 Pd 0.500 0.369 0.369
6 Pb 0.000 0.667 0.333
7 Pd 0.500 0.000 0.631
8 Sn 0.500 0.000 0.000
9 Pd 0.000 0.282 0.000

Entry 2:
A relaxed Ba3NpSn2O9 crystal, computed with PBE-GGA.

Calculated values
Its energy relative to the elements, uncorrected is -2.4408 eV/atom.

Cell lengths 6.053, 6.053, 7.430 Å; angles 90.00, 90.00, 120.00 degrees
Each line ends with the local moment (μB).
Positions (direct):
1 O 0.830 0.659 0.672  -0.02
2 Np 0.000 0.000 0.500  2.86
3 Sn 0.667 0.333 0.838  0.04
4 Ba 0.000 0.000 0.000  0.01
5 Ba 0.667 0.333 0.323  0.01
6 Sn 0.333 0.667 0.162  0.04
7 O 0.341 0.170 0.672  -0.02
8 O 0.170 0.341 0.328  -0.02
9 Ba 0.333 0.667 0.677  0.01
10 O 0.830 0.170 0.672  -0.02
11 O 0.000 0.500 0.000  0.01
12 O 0.170 0.830 0.328  -0.02
13 O 0.659 0.830 0.328  -0.02
14 O 0.500 0.000 0.000  0.01
15 O 0.500 0.500 0.000  0.01

Entry 3:
A relaxed La2Pt3Au crystal, computed with PBE-GGA.

Calculated values
The relative energy among the computed polymorphs comes out at 0.00 eV/f.u. Its calculated formation energy is -0.967 eV/atom.

Cell lengths 4.031, 7.532, 17.630 Å; angles 90.00, 90.00, 90.00 degrees
Positions (direct):
1 Pt 0.250 0.095 0.154
2 La 0.250 0.589 0.791
3 La 0.750 0.340 0.432
4 Au 0.250 0.495 0.064
5 Au 0.750 0.005 0.564
6 Pt 0.750 0.905 0.846
7 Pt 0.750 0.405 0.654
8 Pt 0.750 0.279 0.807
9 Pt 0.250 0.769 0.945
10 La 0.750 0.840 0.068
11 La 0.250 0.660 0.568
12 La 0.750 0.911 0.291
13 Pt 0.250 0.595 0.346
14 Pt 0.250 0.269 0.555
15 Pt 0.250 0.221 0.307
16 La 0.250 0.160 0.932
17 Pt 0.750 0.231 0.055
18 Pt 0.750 0.731 0.445
19 Au 0.750 0.505 0.936
20 Pt 0.250 0.721 0.193
21 Au 0.250 0.995 0.436
22 La 0.250 0.089 0.709
23 La 0.750 0.411 0.209
24 Pt 0.750 0.779 0.693

Entry 4:
A relaxed SmBiAu crystal, computed with PBE-GGA.

Calculated values
Its calculated formation energy is -0.604 eV/atom.

Cell lengths 4.904, 4.105, 8.382 Å; angles 104.17, 90.00, 90.00 degrees
Positions (direct):
1 Sm 0.250 0.092 0.184
2 Au 0.750 0.550 0.100
3 Bi 0.250 0.759 0.517
4 Au 0.250 0.450 0.900
5 Bi 0.750 0.241 0.483
6 Sm 0.750 0.908 0.816

Entry 5:
A relaxed LiHo5Tl8 crystal, computed with PBE-GGA.

Calculated values
Its calculated formation energy is -0.208 eV/atom.

Cell lengths 7.923, 7.923, 7.923 Å; angles 109.00, 110.42, 109.00 degrees
Positions (direct):
1 Tl 0.265 0.249 0.370
2 Ho 0.972 0.384 0.121
3 Li 0.250 0.500 0.750
4 Tl 0.427 0.581 0.180
5 Tl 0.598 0.419 0.846
6 Tl 0.630 0.895 0.878
7 Ho 0.413 0.149 0.028
8 Tl 0.820 0.247 0.402
9 Tl 0.154 0.753 0.573
10 Tl 0.122 0.751 0.017
11 Ho 0.737 0.616 0.587
12 Tl 0.983 0.105 0.735
13 Ho 0.500 0.000 0.500
14 Ho 0.879 0.851 0.263

Entry 6:
A relaxed LiMgAgAu2 crystal, computed with PBE-GGA.

Calculated values
Its calculated formation energy is -0.400 eV/atom.

Cell lengths 4.125, 6.549, 6.439 Å; angles 91.62, 90.00, 90.00 degrees
Positions (direct):
1 Ag 0.250 0.954 0.845
2 Au 0.250 0.352 0.046
3 Au 0.250 0.177 0.466
4 Ag 0.750 0.046 0.155
5 Mg 0.750 0.442 0.329
6 Au 0.750 0.823 0.534
7 Li 0.250 0.776 0.241
8 Au 0.750 0.648 0.954
9 Li 0.750 0.224 0.759
10 Mg 0.250 0.558 0.671

Entry 7:
A relaxed CaTl2Ag2 crystal, computed with PBE-GGA.

Calculated values
The relative energy among the computed polymorphs comes out at 0.11 eV/f.u. Its calculated formation energy is -0.074 eV/atom.

Cell lengths 4.489, 4.489, 7.342 Å; angles 72.20, 72.20, 90.00 degrees
Positions (direct):
1 Tl 0.250 0.750 0.500
2 Tl 0.750 0.250 0.500
3 Ag 0.399 0.399 0.201
4 Ag 0.601 0.601 0.799
5 Ca 0.000 0.000 0.000

Entry 8:
A relaxed La2Nd4Dy2Tm crystal, computed with PBE-GGA.

Calculated values
Its calculated formation energy is 0.009 eV/atom.

Cell lengths 3.686, 9.693, 9.757 Å; angles 115.09, 90.00, 100.96 degrees
Positions (direct):
1 La 0.335 0.670 0.002
2 La 0.665 0.330 0.998
3 Nd 0.519 0.037 0.334
4 Dy 0.147 0.295 0.666
5 Tm 0.000 0.000 0.000
6 Nd 0.481 0.963 0.666
7 Dy 0.853 0.705 0.334
8 Nd 0.186 0.372 0.334
9 Nd 0.814 0.628 0.666

Entry 9:
A relaxed LaTmPu2 crystal, computed with PBE-GGA.

Calculated values
The relative energy among the computed polymorphs comes out at 0.29 eV/f.u. Its calculated formation energy is 0.265 eV/atom.

Cell lengths 5.510, 5.510, 5.510 Å; angles 60.00, 60.00, 60.00 degrees
Each line ends with the local moment (μB).
Positions (direct):
1 Pu 0.750 0.750 0.750  5.60
2 La 0.500 0.500 0.500  0.34
3 Pu 0.250 0.250 0.250  5.60
4 Tm 0.000 0.000 0.000  0.39

Entry 10:
A relaxed PPt2SeF crystal, computed with PBE-GGA.

Calculated values
Its energy relative to the elements, uncorrected is 0.2726 eV/atom.

Cell lengths 4.477, 4.855, 4.477 Å; angles 90.00, 90.00, 90.00 degrees
Positions (direct):
1 Pt 0.500 0.000 0.000
2 F 0.500 0.500 0.500
3 P 0.000 0.000 0.000
4 Se 0.000 0.500 0.000
5 Pt 0.000 0.000 0.500

Entry 11:
A relaxed TiGaTe2 crystal, computed with PBE-GGA.

Calculated values
Its energy relative to the elements, uncorrected is -0.3644 eV/atom.

Cell lengths 10.041, 10.041, 10.041 Å; angles 21.23, 21.23, 21.23 degrees
Positions (direct):
1 Te 0.893 0.893 0.893
2 Ga 0.000 0.000 0.000
3 Ti 0.500 0.500 0.500
4 Te 0.107 0.107 0.107

Entry 12:
A relaxed PmDy2NbN4 crystal, computed with PBE-GGA.

Calculated values
Its energy relative to the elements, uncorrected is -1.2572 eV/atom.

Cell lengths 3.409, 6.204, 12.129 Å; angles 90.00, 90.00, 105.95 degrees
Positions (direct):
1 Pm 0.102 0.205 0.750
2 Dy 0.370 0.741 0.535
3 N 0.740 0.479 0.622
4 Dy 0.370 0.741 0.965
5 Nb 0.841 0.683 0.750
6 N 0.260 0.521 0.122
7 N 0.550 0.099 0.250
8 Nb 0.159 0.317 0.250
9 N 0.260 0.521 0.378
10 N 0.000 0.000 0.000
11 N 0.450 0.901 0.750
12 Dy 0.630 0.259 0.465
13 N 0.740 0.479 0.878
14 Pm 0.898 0.795 0.250
15 N 0.000 0.000 0.500
16 Dy 0.630 0.259 0.035